## Sc2BeCuBi (PBE)

Data for an optimized crystal structure of Sc2BeCuBi.

Structure (POSCAR):
```
Sc2BeCuBi
1.0
5.002 0.000 0.000
0.000 5.002 0.000
0.000 0.000 4.210
Sc Be Cu Bi
2 1 1 1
direct
0.000 0.500 0.000 Sc
0.500 0.000 0.000 Sc
0.000 0.000 0.500 Be
0.000 0.000 0.000 Cu
0.500 0.500 0.500 Bi
```

The energy of formation from the pure elements is -0.01 eV/atom. The value obtained for the energy is -4.88 eV per atom. The magnetization is 0.00 Bohr magnetons per cell. Its space group is No. 123. The theoretical density comes out at 5.86 g/cm³.